CaCr2IO6, optimized geometry, DFT PBE+U; magnetization = 0.55 μB per atom; N(E_F) = 2.204 states/eV/f.u.; final energy = -6.348 eV/atom
1.0
-1.735 -1.128 -5.106
0.646 -5.063 -2.073
-4.369 -3.240 -0.771
O Cr I Ca
6 2 1 1
Cartesian
-0.793 -5.388 -3.296
-3.253 -4.362 -2.194
-1.999 -4.996 -5.988
-1.883 -2.731 -4.065
-3.320 -6.510 -3.919
-4.355 -4.080 -4.701
-4.120 -3.167 -0.873
-2.555 -4.664 -4.046
-0.960 -2.239 -2.152
-3.753 -6.973 -6.101